No. 1
# Li3La (GGA-PBE, optimized geometry)
# ΔE to the lowest computed polymorph	76	meV/atom
# symmetry	R-3m
# density of states at the Fermi level	1.100	states/eV per atom
data_Li3La
_chemical_formula_sum 'Li9 La3'
_space_group_name_H-M_alt 'P 1'
_space_group_IT_number 1
_space_group_name_Hall 'P 1'
_cell_length_a 3.4487
_cell_length_b 3.4487
_cell_length_c 30.1806
_cell_angle_alpha 90.00
_cell_angle_beta 90.00
_cell_angle_gamma 120.00
loop_
_atom_site_label
_atom_site_type_symbol
_atom_site_fract_x
_atom_site_fract_y
_atom_site_fract_z
Li1 Li 0.0000 0.0000 0.0000
Li2 Li 0.0000 0.0000 0.2602
Li3 Li 0.0000 0.0000 0.7398
Li4 Li 0.3333 0.6667 0.4065
Li5 Li 0.3333 0.6667 0.6667
Li6 Li 0.3333 0.6667 0.9268
Li7 Li 0.6667 0.3333 0.0732
Li8 Li 0.6667 0.3333 0.3333
Li9 Li 0.6667 0.3333 0.5935
La1 La 0.0000 0.0000 0.5000
La2 La 0.3333 0.6667 0.1667
La3 La 0.6667 0.3333 0.8333



No. 2
# PmNd4Ru2 (GGA-PBE, optimized geometry)
# ΔE to the lowest computed polymorph	93	meV/atom
# symmetry	R-3m
# density of states at the Fermi level	0.694	states/eV per atom
data_PmNd4Ru2
_chemical_formula_sum 'Pm1 Nd4 Ru2'
_space_group_name_H-M_alt 'P 1'
_space_group_IT_number 1
_space_group_name_Hall 'P 1'
_cell_length_a 10.4698
_cell_length_b 10.4698
_cell_length_c 10.4698
_cell_angle_alpha 27.06
_cell_angle_beta 27.06
_cell_angle_gamma 27.06
loop_
_atom_site_label
_atom_site_type_symbol
_atom_site_fract_x
_atom_site_fract_y
_atom_site_fract_z
Pm1 Pm 0.0000 0.0000 0.0000
Nd1 Nd 0.2005 0.2005 0.2005
Nd2 Nd 0.4008 0.4008 0.4008
Nd3 Nd 0.5992 0.5992 0.5992
Nd4 Nd 0.7995 0.7995 0.7995
Ru1 Ru 0.0983 0.0983 0.0983
Ru2 Ru 0.9017 0.9017 0.9017



No. 3
# SnPbSe2 (GGA-PBE, optimized geometry)
# ΔE to the lowest computed polymorph	44	meV/atom
# symmetry	R3m
# formation energy without anion corrections	-0.45	eV/atom
data_SnPbSe2
_chemical_formula_sum 'Sn3 Pb3 Se6'
_space_group_name_H-M_alt 'P 1'
_space_group_IT_number 1
_space_group_name_Hall 'P 1'
_cell_length_a 4.2397
_cell_length_b 4.2397
_cell_length_c 22.9490
_cell_angle_alpha 90.00
_cell_angle_beta 90.00
_cell_angle_gamma 120.00
loop_
_atom_site_label
_atom_site_type_symbol
_atom_site_fract_x
_atom_site_fract_y
_atom_site_fract_z
Sn1 Sn 0.0000 0.0000 0.0000
Sn2 Sn 0.3333 0.6667 0.6667
Sn3 Sn 0.6667 0.3333 0.3333
Pb1 Pb 0.0000 0.0000 0.8291
Pb2 Pb 0.3333 0.6667 0.4958
Pb3 Pb 0.6667 0.3333 0.1624
Se1 Se 0.0000 0.0000 0.4231
Se2 Se 0.0000 0.0000 0.5993
Se3 Se 0.3333 0.6667 0.0897
Se4 Se 0.3333 0.6667 0.2659
Se5 Se 0.6667 0.3333 0.7564
Se6 Se 0.6667 0.3333 0.9326



No. 4
# V3ReC (GGA-PBE, optimized geometry)
# ΔE to the lowest computed polymorph	0	meV/atom
# symmetry	Pm-3m
# density of states at the Fermi level	1.683	states/eV per atom
data_V3ReC
_chemical_formula_sum 'V3 Re1 C1'
_space_group_name_H-M_alt 'P 1'
_space_group_IT_number 1
_space_group_name_Hall 'P 1'
_cell_length_a 3.9683
_cell_length_b 3.9683
_cell_length_c 3.9683
_cell_angle_alpha 90.00
_cell_angle_beta 90.00
_cell_angle_gamma 90.00
loop_
_atom_site_label
_atom_site_type_symbol
_atom_site_fract_x
_atom_site_fract_y
_atom_site_fract_z
V1 V 0.0000 0.0000 0.5000
V2 V 0.0000 0.5000 0.0000
V3 V 0.5000 0.0000 0.0000
Re1 Re 0.5000 0.5000 0.5000
C1 C 0.0000 0.0000 0.0000



No. 5
# Zr2BiRhBr (GGA-PBE, optimized geometry)
# symmetry	P4/mmm
# density of states at the Fermi level	0.988	states/eV per atom
# formation energy without anion corrections	0.90	eV/atom
data_Zr2BiRhBr
_chemical_formula_sum 'Zr2 Bi1 Rh1 Br1'
_space_group_name_H-M_alt 'P 1'
_space_group_IT_number 1
_space_group_name_Hall 'P 1'
_cell_length_a 4.8866
_cell_length_b 4.8866
_cell_length_c 5.5150
_cell_angle_alpha 90.00
_cell_angle_beta 90.00
_cell_angle_gamma 90.00
loop_
_atom_site_label
_atom_site_type_symbol
_atom_site_fract_x
_atom_site_fract_y
_atom_site_fract_z
Zr1 Zr 0.0000 0.5000 0.0000
Zr2 Zr 0.5000 0.0000 0.0000
Bi1 Bi 0.0000 0.0000 0.5000
Rh1 Rh 0.5000 0.5000 0.5000
Br1 Br 0.0000 0.0000 0.0000



No. 6
# CrCu6Au12 (GGA-PBE, optimized geometry)
# symmetry	R-3
# density of states at the Fermi level	0.376	states/eV per atom
data_CrCu6Au12
_chemical_formula_sum 'Cr1 Cu6 Au12'
_space_group_name_H-M_alt 'P 1'
_space_group_IT_number 1
_space_group_name_Hall 'P 1'
_cell_length_a 7.1938
_cell_length_b 7.1938
_cell_length_c 7.1938
_cell_angle_alpha 103.81
_cell_angle_beta 103.81
_cell_angle_gamma 103.81
loop_
_atom_site_label
_atom_site_type_symbol
_atom_site_fract_x
_atom_site_fract_y
_atom_site_fract_z
Cr1 Cr 0.0000 0.0000 0.0000
Cu1 Cu 0.1793 0.2554 0.4271
Cu2 Cu 0.2554 0.4271 0.1793
Cu3 Cu 0.4271 0.1793 0.2554
Cu4 Cu 0.5729 0.8207 0.7446
Cu5 Cu 0.7446 0.5729 0.8207
Cu6 Cu 0.8207 0.7446 0.5729
Au1 Au 0.0334 0.6883 0.1561
Au2 Au 0.1561 0.0334 0.6883
Au3 Au 0.1834 0.6382 0.5281
Au4 Au 0.3117 0.8439 0.9666
Au5 Au 0.3618 0.4719 0.8166
Au6 Au 0.4719 0.8166 0.3618
Au7 Au 0.5281 0.1834 0.6382
Au8 Au 0.6382 0.5281 0.1834
Au9 Au 0.6883 0.1561 0.0334
Au10 Au 0.8166 0.3618 0.4719
Au11 Au 0.8439 0.9666 0.3117
Au12 Au 0.9666 0.3117 0.8439



No. 7
# LiCeZrGa (GGA-PBE, optimized geometry)
# symmetry	F-43m
# density of states at the Fermi level	1.919	states/eV per atom
data_LiCeZrGa
_chemical_formula_sum 'Li4 Ce4 Zr4 Ga4'
_space_group_name_H-M_alt 'P 1'
_space_group_IT_number 1
_space_group_name_Hall 'P 1'
_cell_length_a 6.9857
_cell_length_b 6.9857
_cell_length_c 6.9857
_cell_angle_alpha 90.00
_cell_angle_beta 90.00
_cell_angle_gamma 90.00
loop_
_atom_site_label
_atom_site_type_symbol
_atom_site_fract_x
_atom_site_fract_y
_atom_site_fract_z
Li1 Li 0.0000 0.0000 0.0000
Li2 Li 0.0000 0.5000 0.5000
Li3 Li 0.5000 0.0000 0.5000
Li4 Li 0.5000 0.5000 0.0000
Ce1 Ce 0.2500 0.2500 0.7500
Ce2 Ce 0.2500 0.7500 0.2500
Ce3 Ce 0.7500 0.2500 0.2500
Ce4 Ce 0.7500 0.7500 0.7500
Zr1 Zr 0.2500 0.2500 0.2500
Zr2 Zr 0.2500 0.7500 0.7500
Zr3 Zr 0.7500 0.2500 0.7500
Zr4 Zr 0.7500 0.7500 0.2500
Ga1 Ga 0.0000 0.0000 0.5000
Ga2 Ga 0.0000 0.5000 0.0000
Ga3 Ga 0.5000 0.0000 0.0000
Ga4 Ga 0.5000 0.5000 0.5000



No. 8
# Pu3BiO (GGA-PBE, optimized geometry)
# symmetry	Pm-3m
# density of states at the Fermi level	4.952	states/eV per atom
# formation energy without anion corrections	-1.13	eV/atom
data_Pu3BiO
_chemical_formula_sum 'Pu3 Bi1 O1'
_space_group_name_H-M_alt 'P 1'
_space_group_IT_number 1
_space_group_name_Hall 'P 1'
_cell_length_a 4.9256
_cell_length_b 4.9256
_cell_length_c 4.9256
_cell_angle_alpha 90.00
_cell_angle_beta 90.00
_cell_angle_gamma 90.00
loop_
_atom_site_label
_atom_site_type_symbol
_atom_site_fract_x
_atom_site_fract_y
_atom_site_fract_z
Pu1 Pu 0.0000 0.0000 0.5000
Pu2 Pu 0.0000 0.5000 0.0000
Pu3 Pu 0.5000 0.0000 0.0000
Bi1 Bi 0.5000 0.5000 0.5000
O1 O 0.0000 0.0000 0.0000



Magnetization: 0.000; 0.000; 0.000; 0.002; 0.000; 4.101; 0.741; 18.679 (μB/f.u.)
Energy: -2.557; -6.067; -4.125; -9.913; -5.105; -3.732; -4.970; -11.494 (eV/atom)